Computed, not measured: an optimized crystal structure of FePO3 at the PBE with a Hubbard U level of DFT.

Summary:
magnetic moment	6.9	μB per cell
raw total energy	-6.6004	eV per atom
crystal system	monoclinic

Cell lengths 2.930, 7.434, 6.276 Å; angles 90.00, 90.00, 100.32 degrees
Fractional positions:
Fe 0.942 0.878 0.250
Fe 0.058 0.122 0.750
P 0.141 0.306 0.250
P 0.859 0.694 0.750
O 0.084 0.181 0.054
O 0.916 0.819 0.946
O 0.084 0.181 0.446
O 0.916 0.819 0.554
O 0.695 0.423 0.250
O 0.305 0.577 0.750